Computed, not measured: Cd6As2P after structural relaxation at the PBE level of DFT.

Summary:
formation enthalpy at 0 K: 11 meV per atom
E: -2.234 eV per atom

```
data_Cd6As2P
_cell_length_a 6.993
_cell_length_b 5.597
_cell_length_c 13.413
_cell_angle_alpha 90.00
_cell_angle_beta 121.32
_cell_angle_gamma 90.00
_space_group_name_H-M_alt 'P 1 21/c 1'
_space_group_IT_number 14
loop_
_space_group_symop_operation_xyz
'x,y,z'
'-x,-y,-z'
'-x,y+1/2,-z+1/2'
'x,-y+1/2,z+1/2'
loop_
_atom_site_label
_atom_site_fract_x
_atom_site_fract_y
_atom_site_fract_z
_atom_site_occupancy
Cd1 0.055 0.216 0.358 1
Cd2 0.328 0.720 0.998 1
Cd3 0.338 0.211 0.638 1
As1 0.311 0.003 0.809 1
P1 0.000 0.000 0.000 1
```